{
  "formula": "ZrPtN2F",
  "functional": "PBE-GGA",
  "state": "optimized geometry",
  "lattice": [[-3.3596, -2.1742, -1.5411], [2.2474, -0.9788, -3.5186], [1.3381, -3.3301, 1.7810]],
  "species": ["N", "N", "Zr", "Pt", "F"],
  "frac_coords": [[0.0000, 0.5000, 0.0000], [0.5000, 0.0000, 0.0000], [0.0000, 0.0000, 0.0000], [0.5000, 0.5000, 0.5000], [0.0000, 0.0000, 0.5000]],
  "spacegroup": "P4/mmm, No. 123",
  "m_tot_mub_per_cell": 0.00,
  "density_g_cm3": 7.51,
  "e_above_lowest_polymorph_ev_per_atom": 0.0000,
  "dos_at_fermi_per_ev_atom": 0.800
}

{
  "formula": "HfZrMo2I",
  "functional": "PBE-GGA",
  "state": "optimized geometry",
  "lattice": [[-2.2419, -3.0079, 3.1428], [2.9985, -3.9969, -1.6863], [3.3438, 1.0701, 3.4095]],
  "species": ["I", "Mo", "Mo", "Hf", "Zr"],
  "frac_coords": [[0.5000, 0.5000, 0.5000], [0.0000, 0.0000, 0.5000], [0.5000, 0.0000, 0.0000], [0.0000, 0.5000, 0.0000], [0.0000, 0.0000, 0.0000]],
  "spacegroup": "P4/mmm, No. 123",
  "m_tot_mub_per_cell": 0.00,
  "density_g_cm3": 7.74,
  "dos_at_fermi_per_ev_atom": 1.045
}

Result set for formation energy (no corrections): 30, 1810 meV per atom, one per record in the order listed.